First-principles (GGA-PBE) data for an optimized crystal structure of TlGe2Au2, as listed in Alexandria via LeMat-Bulk.

a = 8.355 Å, b = 8.355 Å, c = 3.043 Å
α = 90.00°, β = 90.00°, γ = 90.00°
Sites, in units of the cell vectors:
Au 0.847 0.653 0.000
Tl 0.500 0.500 0.000
Tl 0.000 0.000 0.000
Ge 0.360 0.140 0.500
Au 0.153 0.347 0.000
Ge 0.640 0.860 0.500
Ge 0.860 0.360 0.500
Ge 0.140 0.640 0.500
Au 0.347 0.847 0.000
Au 0.653 0.153 0.000

Results
offset from the most stable computed form = 77 meV per atom

First-principles (GGA-PBE) data for an optimized crystal structure of Cs3Hg12As5, as listed in Alexandria via LeMat-Bulk.

a = 15.920 Å, b = 15.920 Å, c = 15.920 Å
α = 109.47°, β = 109.47°, γ = 109.47°
Sites, in units of the cell vectors:
As 0.125 0.375 0.250
Hg 0.046 0.678 0.479
As 0.875 0.250 0.625
Hg 0.433 0.454 0.632
Cs 0.125 0.875 0.750
Hg 0.178 0.479 0.546
Hg 0.067 0.199 0.521
As 0.625 0.750 0.875
Hg 0.979 0.433 0.801
Cs 0.625 0.375 0.750
Hg 0.454 0.433 0.132
Cs 0.750 0.375 0.125
Cs 0.875 0.750 0.125
Hg 0.479 0.301 0.933
Cs 0.250 0.125 0.375
Cs 0.375 0.625 0.250
As 0.250 0.875 0.125
As 0.000 0.000 0.000
Hg 0.301 0.822 0.368
As 0.000 0.000 0.500
Hg 0.933 0.132 0.954
Hg 0.567 0.021 0.699
As 0.875 0.625 0.750
Hg 0.868 0.801 0.822
Hg 0.021 0.567 0.199
Cs 0.375 0.750 0.625
Hg 0.933 0.801 0.479
Cs 0.750 0.875 0.625
Hg 0.368 0.322 0.301
Hg 0.678 0.046 0.979
Hg 0.801 0.933 0.979
Hg 0.322 0.954 0.021
As 0.750 0.625 0.375
Hg 0.521 0.699 0.067
Hg 0.699 0.521 0.567
Hg 0.546 0.979 0.178
Hg 0.046 0.368 0.067
Hg 0.822 0.301 0.868
Hg 0.479 0.178 0.046
As 0.250 0.375 0.625
Hg 0.521 0.822 0.954
Hg 0.822 0.521 0.454
Hg 0.132 0.933 0.454
Hg 0.132 0.199 0.178
Hg 0.178 0.699 0.132
Hg 0.868 0.067 0.546
As 0.500 0.500 0.000
Hg 0.801 0.868 0.322
Hg 0.546 0.567 0.868
As 0.625 0.875 0.250
Hg 0.301 0.479 0.433
Cs 0.125 0.250 0.875
Cs 0.875 0.125 0.250
As 0.750 0.125 0.875
Hg 0.322 0.368 0.801
As 0.375 0.125 0.750
Hg 0.199 0.067 0.021
Hg 0.954 0.322 0.521
Hg 0.678 0.632 0.199
Hg 0.632 0.954 0.433
Hg 0.368 0.046 0.567
Hg 0.632 0.678 0.699
As 0.000 0.500 0.000
Hg 0.699 0.178 0.632
Hg 0.067 0.868 0.046
Hg 0.021 0.454 0.322
Hg 0.454 0.021 0.822
Cs 0.250 0.625 0.875
As 0.500 0.500 0.500
As 0.125 0.750 0.375
Hg 0.954 0.632 0.933
As 0.375 0.250 0.125
Hg 0.979 0.546 0.678
As 0.500 0.000 0.000
As 0.500 0.000 0.500
Hg 0.199 0.132 0.678
Hg 0.567 0.546 0.368
As 0.000 0.500 0.500
Cs 0.625 0.250 0.375
Hg 0.433 0.979 0.301

Calculated DFT total energy (eV per atom), listed in the same order as above: -3.537, -1.469
Calculated ΔH_f (0 K) (eV per formula unit), listed in the same order as above: 0.47, 0.05